# 1
Here is a relaxed structure of Nb4S5O from Alexandria. Energies are from PBE.

Summary:
The theoretical density is 5.15 g/cm3. The density of states at the Fermi level comes out at 11.3 states/eV/cell. As for the total energy: -7.614 eV per atom.

Structure (CIF):
```
data_Nb4S5O
_chemical_formula_sum 'Nb8 S10 O2'
_cell_length_a 15.5938
_cell_length_b 3.2585
_cell_length_c 7.2064
_cell_angle_alpha 90.00
_cell_angle_beta 105.23
_cell_angle_gamma 90.00
_symmetry_space_group_name_H-M 'C 1 2/m 1'
_symmetry_Int_Tables_number 12
_symmetry_space_group_name_Hall '-C 2y'
loop_
_atom_site_label
_atom_site_type_symbol
_atom_site_fract_x
_atom_site_fract_y
_atom_site_fract_z
_atom_site_occupancy
Nb1 Nb 0.0170 0.0000 0.2719 1
Nb2 Nb 0.1469 0.5000 0.5345 1
S1 S 0.0000 0.5000 0.0000 1
S2 S 0.1485 0.0000 0.8010 1
S3 S 0.1824 0.0000 0.3027 1
O1 O 0.0000 0.5000 0.5000 1
```

=====

# 2
Here is a relaxed structure of Nb8S8O45 from Alexandria. Energies are from PBE.

Summary:
The theoretical density is 3.28 g/cm3. The density of states at the Fermi level comes out at 31.0 states/eV/cell. As for the total energy: -7.292 eV per atom.

Structure (CIF):
```
data_Nb8S8O45
_chemical_formula_sum 'Nb24 S24 O135'
_cell_length_a 10.5981
_cell_length_b 10.5981
_cell_length_c 26.8428
_cell_angle_alpha 90.00
_cell_angle_beta 90.00
_cell_angle_gamma 120.00
_symmetry_space_group_name_H-M 'R -3'
_symmetry_Int_Tables_number 148
_symmetry_space_group_name_Hall '-R 3'
loop_
_atom_site_label
_atom_site_type_symbol
_atom_site_fract_x
_atom_site_fract_y
_atom_site_fract_z
_atom_site_occupancy
Nb1 Nb 0.0000 0.0000 0.1241 1
Nb2 Nb 0.0046 0.5528 0.3749 1
S1 S 0.0000 0.0000 0.3537 1
S2 S 0.0648 0.5646 0.8825 1
O1 O 0.0000 0.0000 0.4066 1
O2 O 0.0000 0.0000 0.5000 1
O3 O 0.0034 0.8696 0.6675 1
O4 O 0.0253 0.1965 0.7520 1
O5 O 0.0298 0.4294 0.9129 1
O6 O 0.0394 0.2694 0.4665 1
O7 O 0.0434 0.6197 0.6675 1
O8 O 0.0688 0.1774 0.9139 1
O9 O 0.0742 0.1758 0.1731 1
```

=====

# 3
Here is a relaxed structure of Sm3NbS3O4 from Alexandria. Energies are from PBE.

Summary:
The theoretical density is 6.26 g/cm3. The density of states at the Fermi level comes out at 0.0 states/eV/cell. As for the total energy: -7.769 eV per atom.

Structure (CIF):
```
data_Sm3NbS3O4
_chemical_formula_sum 'Sm12 Nb4 S12 O16'
_cell_length_a 6.7271
_cell_length_b 14.3789
_cell_length_c 7.7275
_cell_angle_alpha 90.00
_cell_angle_beta 90.00
_cell_angle_gamma 90.00
_symmetry_space_group_name_H-M 'P n a 21'
_symmetry_Int_Tables_number 33
_symmetry_space_group_name_Hall 'P 2c -2n'
loop_
_atom_site_label
_atom_site_type_symbol
_atom_site_fract_x
_atom_site_fract_y
_atom_site_fract_z
_atom_site_occupancy
Sm1 Sm 0.2170 0.1553 0.0000 1
Sm2 Sm 0.2220 0.9178 0.2434 1
Sm3 Sm 0.2291 0.1689 0.4889 1
Nb1 Nb 0.1792 0.9265 0.7587 1
S1 S 0.0023 0.2723 0.7546 1
S2 S 0.0324 0.4916 0.4636 1
S3 S 0.0491 0.2984 0.2333 1
O1 O 0.1185 0.8613 0.9729 1
O2 O 0.1246 0.8874 0.5239 1
O3 O 0.1345 0.0734 0.2576 1
O4 O 0.1420 0.0622 0.7366 1
```

=====

# 4
Here is a relaxed structure of Sm2Nb2S7O30 from Alexandria. Energies are from PBE.

Summary:
The theoretical density is 3.25 g/cm3. The density of states at the Fermi level comes out at 26.5 states/eV/cell. As for the total energy: -6.810 eV per atom.

Structure (CIF):
```
data_Sm2Nb2S7O30
_chemical_formula_sum 'Sm4 Nb4 S14 O60'
_cell_length_a 13.0106
_cell_length_b 13.0106
_cell_length_c 7.1850
_cell_angle_alpha 90.00
_cell_angle_beta 90.00
_cell_angle_gamma 90.00
_symmetry_space_group_name_H-M 'P -4 21 m'
_symmetry_Int_Tables_number 113
_symmetry_space_group_name_Hall 'P -4 2ab'
loop_
_atom_site_label
_atom_site_type_symbol
_atom_site_fract_x
_atom_site_fract_y
_atom_site_fract_z
_atom_site_occupancy
Sm1 Sm 0.1967 0.3033 0.4039 1
Nb1 Nb 0.1373 0.6373 0.9803 1
S1 S 0.0000 0.5000 0.3425 1
S2 S 0.0664 0.8215 0.2983 1
S3 S 0.1225 0.3775 0.8910 1
O1 O 0.0087 0.3589 0.8675 1
O2 O 0.0401 0.2117 0.3290 1
O3 O 0.0664 0.4336 0.4572 1
O4 O 0.0656 0.5656 0.2216 1
O5 O 0.0680 0.0758 0.7324 1
O6 O 0.1060 0.7673 0.1213 1
O7 O 0.1331 0.7893 0.4536 1
O8 O 0.1555 0.3445 0.0748 1
O9 O 0.1750 0.3250 0.7390 1
O10 O 0.2003 0.7003 0.7928 1
```

=====

# 5
Here is a relaxed structure of SrNbS2O8 from Alexandria. Energies are from PBE.

Summary:
The theoretical density is 3.60 g/cm3. As for the total energy: -6.663 eV per atom.

Structure (CIF):
```
data_SrNbS2O8
_chemical_formula_sum 'Sr1 Nb1 S2 O8'
_cell_length_a 5.0997
_cell_length_b 5.0997
_cell_length_c 7.6324
_cell_angle_alpha 90.00
_cell_angle_beta 90.00
_cell_angle_gamma 120.00
_symmetry_space_group_name_H-M 'P -3'
_symmetry_Int_Tables_number 147
_symmetry_space_group_name_Hall '-P 3'
loop_
_atom_site_label
_atom_site_type_symbol
_atom_site_fract_x
_atom_site_fract_y
_atom_site_fract_z
_atom_site_occupancy
Sr1 Sr 0.0000 0.0000 0.0000 1
Nb1 Nb 0.0000 0.0000 0.5000 1
S1 S 0.3333 0.6667 0.7696 1
O1 O 0.1093 0.3554 0.7088 1
O2 O 0.3333 0.6667 0.9640 1
```

=====

# 6
Here is a relaxed structure of NbSbO3 from Alexandria. Energies are from PBE.

Summary:
The theoretical density is 6.40 g/cm3. The density of states at the Fermi level comes out at 3.6 states/eV/cell. As for the total energy: -6.227 eV per atom.

Structure (CIF):
```
data_NbSbO3
_chemical_formula_sum 'Nb1 Sb1 O3'
_cell_length_a 4.0846
_cell_length_b 4.0846
_cell_length_c 4.0846
_cell_angle_alpha 90.00
_cell_angle_beta 90.00
_cell_angle_gamma 90.00
_symmetry_space_group_name_H-M 'P m -3 m'
_symmetry_Int_Tables_number 221
_symmetry_space_group_name_Hall '-P 4 2 3'
loop_
_atom_site_label
_atom_site_type_symbol
_atom_site_fract_x
_atom_site_fract_y
_atom_site_fract_z
_atom_site_occupancy
Nb1 Nb 0.0000 0.0000 0.0000 1
Sb1 Sb 0.5000 0.5000 0.5000 1
O1 O 0.0000 0.5000 0.5000 1
```

=====

# 7
Here is a relaxed structure of Nb2SbO8 from Alexandria. Energies are from PBE.

Summary:
The theoretical density is 5.28 g/cm3. The density of states at the Fermi level comes out at 15.2 states/eV/cell. As for the total energy: -7.643 eV per atom.

Structure (CIF):
```
data_Nb2SbO8
_chemical_formula_sum 'Nb4 Sb2 O16'
_cell_length_a 9.6689
_cell_length_b 6.6831
_cell_length_c 4.2382
_cell_angle_alpha 90.00
_cell_angle_beta 91.17
_cell_angle_gamma 90.00
_symmetry_space_group_name_H-M 'C 1 2/m 1'
_symmetry_Int_Tables_number 12
_symmetry_space_group_name_Hall '-C 2y'
loop_
_atom_site_label
_atom_site_type_symbol
_atom_site_fract_x
_atom_site_fract_y
_atom_site_fract_z
_atom_site_occupancy
Nb1 Nb 0.1337 0.0000 0.2913 1
Sb1 Sb 0.0000 0.5000 0.0000 1
O1 O 0.0978 0.0000 0.7403 1
O2 O 0.0996 0.2854 0.2352 1
O3 O 0.1725 0.5000 0.7416 1
```

=====

# 8
Here is a relaxed structure of Nb6Sb4O19 from Alexandria. Energies are from PBE.

Summary:
The theoretical density is 4.63 g/cm3. The density of states at the Fermi level comes out at 2.0 states/eV/cell. As for the total energy: -7.925 eV per atom.

Structure (CIF):
```
data_Nb6Sb4O19
_chemical_formula_sum 'Nb6 Sb4 O19'
_cell_length_a 8.4139
_cell_length_b 8.5369
_cell_length_c 8.6586
_cell_angle_alpha 108.43
_cell_angle_beta 109.41
_cell_angle_gamma 109.73
_symmetry_space_group_name_H-M 'P 1'
_symmetry_Int_Tables_number 1
_symmetry_space_group_name_Hall 'P 1'
loop_
_atom_site_label
_atom_site_type_symbol
_atom_site_fract_x
_atom_site_fract_y
_atom_site_fract_z
_atom_site_occupancy
Nb1 Nb 0.0000 0.0000 0.0000 1
Nb2 Nb 0.0083 0.3450 0.3106 1
Nb3 Nb 0.1460 0.8227 0.6575 1
Nb4 Nb 0.3302 0.1626 0.4841 1
Nb5 Nb 0.6444 0.1662 0.8046 1
Nb6 Nb 0.8482 0.5393 0.6440 1
Sb1 Sb 0.0369 0.2526 0.7512 1
Sb2 Sb 0.4468 0.5281 0.3367 1
Sb3 Sb 0.6859 0.0227 0.3718 1
Sb4 Sb 0.7735 0.5890 0.1812 1
O1 O 0.1250 0.6057 0.4070 1
O2 O 0.1256 0.6164 0.7258 1
O3 O 0.1313 0.0143 0.8342 1
O4 O 0.1662 0.3228 0.1661 1
O5 O 0.1672 0.9675 0.5027 1
O6 O 0.1861 0.3038 0.4829 1
O7 O 0.1983 0.0179 0.2008 1
O8 O 0.4459 0.9605 0.7775 1
O9 O 0.5037 0.4561 0.1277 1
O10 O 0.5197 0.3138 0.7599 1
O11 O 0.5321 0.0569 0.5048 1
O12 O 0.5360 0.3864 0.4613 1
O13 O 0.7882 0.3450 0.0851 1
O14 O 0.8143 0.2907 0.4014 1
O15 O 0.8422 0.7297 0.8356 1
O16 O 0.8483 0.0866 0.8138 1
O17 O 0.8485 0.6543 0.4580 1
O18 O 0.8541 0.0516 0.1166 1
O19 O 0.8698 0.3802 0.7755 1
```